Entry 1:
# SmBeSi PBE-GGA relaxed
data_SmBeSi
_chemical_formula_sum 'Sm2 Be2 Si2'
_space_group_name_H-M_alt 'P m m m'
_space_group_IT_number 47
_space_group_name_Hall '-P 2 2'
_cell_length_a 3.917
_cell_length_b 4.172
_cell_length_c 6.813
_cell_angle_alpha 90.00
_cell_angle_beta 90.00
_cell_angle_gamma 90.00
loop_
_atom_site_label
_atom_site_type_symbol
_atom_site_fract_x
_atom_site_fract_y
_atom_site_fract_z
Sm1 Sm 0.000 0.000 0.000
Sm2 Sm 0.500 0.000 0.500
Be1 Be 0.000 0.500 0.338
Si1 Si 0.500 0.500 0.176
# Fermi-level density of states: 3.50 states/eV per cell
# total DFT energy (no corrections): -5.18 eV per atom
# crystal system: orthorhombic
# formation energy without anion corrections: -0.554 eV per atom
# ρ: 5.6 g/cm3

---

Entry 2:
# Sm3Be2Si3 PBE-GGA relaxed
data_Sm3Be2Si3
_chemical_formula_sum 'Sm12 Be8 Si12'
_space_group_name_H-M_alt 'C m c m'
_space_group_IT_number 63
_space_group_name_Hall '-C 2c 2'
_cell_length_a 3.906
_cell_length_b 10.791
_cell_length_c 14.935
_cell_angle_alpha 90.00
_cell_angle_beta 90.00
_cell_angle_gamma 90.00
loop_
_atom_site_label
_atom_site_type_symbol
_atom_site_fract_x
_atom_site_fract_y
_atom_site_fract_z
Sm1 Sm 0.000 0.043 0.250
Sm2 Sm 0.000 0.349 0.092
Be1 Be 0.000 0.364 0.619
Si1 Si 0.000 0.075 0.058
Si2 Si 0.000 0.240 0.750
# Fermi-level density of states: 16.87 states/eV per cell
# total DFT energy (no corrections): -5.33 eV per atom
# crystal system: orthorhombic
# formation energy without anion corrections: -0.594 eV per atom
# ρ: 5.8 g/cm3

---

Entry 3:
# Sm3BeSi3 PBE-GGA relaxed
data_Sm3BeSi3
_chemical_formula_sum 'Sm6 Be2 Si6'
_space_group_name_H-M_alt 'I m m 2'
_space_group_IT_number 44
_space_group_name_Hall 'I 2 -2'
_cell_length_a 3.907
_cell_length_b 4.286
_cell_length_c 17.725
_cell_angle_alpha 90.00
_cell_angle_beta 90.00
_cell_angle_gamma 90.00
loop_
_atom_site_label
_atom_site_type_symbol
_atom_site_fract_x
_atom_site_fract_y
_atom_site_fract_z
Sm1 Sm 0.000 0.000 0.000
Sm2 Sm 0.000 0.000 0.368
Sm3 Sm 0.000 0.500 0.683
Be1 Be 0.000 0.500 0.116
Si1 Si 0.000 0.000 0.551
Si2 Si 0.000 0.000 0.823
Si3 Si 0.000 0.500 0.241
# Fermi-level density of states: 8.07 states/eV per cell
# total DFT energy (no corrections): -5.57 eV per atom
# crystal system: orthorhombic
# formation energy without anion corrections: -0.694 eV per atom
# ρ: 6.1 g/cm3

---

Entry 4:
# Sm2BeSi3 PBE-GGA relaxed
data_Sm2BeSi3
_chemical_formula_sum 'Sm2 Be1 Si3'
_space_group_name_H-M_alt 'P m m 2'
_space_group_IT_number 25
_space_group_name_Hall 'P 2 -2'
_cell_length_a 3.977
_cell_length_b 4.188
_cell_length_c 6.816
_cell_angle_alpha 90.00
_cell_angle_beta 90.00
_cell_angle_gamma 90.00
loop_
_atom_site_label
_atom_site_type_symbol
_atom_site_fract_x
_atom_site_fract_y
_atom_site_fract_z
Sm1 Sm 0.000 0.000 0.000
Sm2 Sm 0.500 0.000 0.500
Be1 Be 0.000 0.500 0.673
Si1 Si 0.000 0.500 0.348
Si2 Si 0.500 0.500 0.164
Si3 Si 0.500 0.500 0.819
# Fermi-level density of states: 1.55 states/eV per cell
# total DFT energy (no corrections): -5.59 eV per atom
# crystal system: orthorhombic
# formation energy without anion corrections: -0.680 eV per atom
# ρ: 5.8 g/cm3
# energy above the most stable polymorph in this dataset: 0.021 eV/atom

---

Entry 5:
# SmBeSi PBE-GGA relaxed
data_SmBeSi
_chemical_formula_sum 'Sm1 Be1 Si1'
_space_group_name_H-M_alt 'P -6 m 2'
_space_group_IT_number 187
_space_group_name_Hall 'P -6 2'
_cell_length_a 3.9263
_cell_length_b 3.9263
_cell_length_c 4.1688
_cell_angle_alpha 90.00
_cell_angle_beta 90.00
_cell_angle_gamma 120.00
loop_
_atom_site_label
_atom_site_type_symbol
_atom_site_fract_x
_atom_site_fract_y
_atom_site_fract_z
Sm1 Sm 0.0000 0.0000 0.0000
Be1 Be 0.6667 0.3333 0.5000
Si1 Si 0.3333 0.6667 0.5000
# Fermi-level density of states: 1.52 states/eV per cell
# total DFT energy (no corrections): -5.25 eV per atom
# crystal system: hexagonal
# formation energy without anion corrections: -0.624 eV per atom
# ρ: 5.6 g/cm3

---

Entry 6:
# Be2SiSn PBE-GGA relaxed
data_Be2SiSn
_chemical_formula_sum 'Be8 Si4 Sn4'
_space_group_name_H-M_alt 'I -4 2 d'
_space_group_IT_number 122
_space_group_name_Hall 'I -4 2bw'
_cell_length_a 4.239
_cell_length_b 4.239
_cell_length_c 14.510
_cell_angle_alpha 90.00
_cell_angle_beta 90.00
_cell_angle_gamma 90.00
loop_
_atom_site_label
_atom_site_type_symbol
_atom_site_fract_x
_atom_site_fract_y
_atom_site_fract_z
Be1 Be 0.152 0.250 0.125
Si1 Si 0.000 0.000 0.000
Sn1 Sn 0.000 0.000 0.500
# Fermi-level density of states: 2.28 states/eV per cell
# total DFT energy (no corrections): -3.87 eV per atom
# crystal system: tetragonal
# formation energy without anion corrections: 0.345 eV per atom
# ρ: 4.2 g/cm3
# energy above the most stable polymorph in this dataset: 0.000 eV/atom

---

no.,magnetic moment (μB/f.u.)
1,0.00
2,0.00
3,0.72
4,0.00
5,0.00
6,0.00